A plane-wave DFT calculation with PBE was carried out for crystalline Tc2RuCl at its relaxed geometry.

Computed properties:
Formation energy (no corrections)   109.4 kJ per mole of atoms
Volume   15.34 Å³/atom
Polymorph energy (0 for the lowest one)   852 meV per atom

Cell and atoms, written as POSCAR:
```
Tc2RuCl
1.0
3.559 0.000 0.000
0.000 3.559 0.000
0.000 0.000 4.845
Tc Ru Cl
2 1 1
direct
0.000 0.500 0.000 Tc
0.500 0.000 0.000 Tc
0.000 0.000 0.500 Ru
0.500 0.500 0.500 Cl
```

A plane-wave DFT calculation with PBE was carried out for crystalline Ba2AgSbAu6 at its relaxed geometry.

Computed properties:
Formation energy (no corrections)   -42.4 kJ per mole of atoms
Volume   26.88 Å³/atom

Cell and atoms, written as POSCAR:
```
Ba2AgSbAu6
1.0
5.630 0.000 0.000
2.814 6.722 0.000
2.811 -0.082 7.104
Ba Ag Sb Au
2 1 1 6
direct
0.040 0.217 0.206 Ba
0.960 0.783 0.794 Ba
0.500 0.500 0.000 Ag
0.500 0.000 0.500 Sb
0.004 0.744 0.247 Au
0.342 0.416 0.406 Au
0.496 0.254 0.754 Au
0.504 0.746 0.246 Au
0.658 0.584 0.594 Au
0.996 0.256 0.753 Au
```

A plane-wave DFT calculation with PBE was carried out for crystalline SrSbTe2Rh at its relaxed geometry.

Computed properties:
Formation energy (no corrections)   -43.4 kJ per mole of atoms
Volume   30.71 Å³/atom
Polymorph energy (0 for the lowest one)   0 meV per atom

Cell and atoms, written as POSCAR:
```
SrSbTe2Rh
1.0
5.596 0.000 0.000
0.000 5.596 0.000
0.000 0.000 4.903
Sr Sb Te Rh
1 1 2 1
direct
0.000 0.000 0.000 Sr
0.500 0.500 0.000 Sb
0.000 0.500 0.500 Te
0.500 0.000 0.500 Te
0.500 0.500 0.500 Rh
```

A plane-wave DFT calculation with PBE was carried out for crystalline AlNiI5 at its relaxed geometry.

Computed properties:
Formation energy (no corrections)   -22.4 kJ per mole of atoms
Volume   49.01 Å³/atom

Cell and atoms, written as POSCAR:
```
AlNiI5
1.0
15.786 0.000 0.000
0.000 8.523 0.000
0.000 0.000 10.199
Al Ni I
4 4 20
direct
0.148 0.250 0.015 Al
0.352 0.750 0.515 Al
0.648 0.250 0.485 Al
0.852 0.750 0.985 Al
0.038 0.750 0.632 Ni
0.462 0.250 0.132 Ni
0.538 0.750 0.868 Ni
0.962 0.250 0.368 Ni
0.000 0.000 0.500 I
0.000 0.500 0.500 I
0.112 0.250 0.264 I
0.119 0.504 0.897 I
0.119 0.996 0.897 I
0.180 0.750 0.513 I
0.320 0.250 0.013 I
0.381 0.004 0.397 I
0.381 0.496 0.397 I
0.388 0.750 0.764 I
0.500 0.000 0.000 I
0.500 0.500 0.000 I
0.612 0.250 0.236 I
0.619 0.504 0.603 I
0.619 0.996 0.603 I
0.680 0.750 0.987 I
0.820 0.250 0.487 I
0.881 0.004 0.103 I
0.881 0.496 0.103 I
0.888 0.750 0.736 I
```

A plane-wave DFT calculation with PBE was carried out for crystalline La2Y2Ho7 at its relaxed geometry.

Computed properties:
Volume   32.86 Å³/atom
Polymorph energy (0 for the lowest one)   0 meV per atom
DFT formation energy   0.073 eV per atom

Cell and atoms, written as POSCAR:
```
La2Y2Ho7
1.0
3.629 0.000 0.000
-0.001 8.997 0.000
-1.813 -4.003 11.070
La Y Ho
2 2 7
direct
0.142 0.271 0.286 La
0.858 0.729 0.714 La
0.081 0.760 0.162 Y
0.919 0.240 0.838 Y
0.300 0.353 0.599 Ho
0.305 0.977 0.610 Ho
0.450 0.587 0.899 Ho
0.500 0.000 0.000 Ho
0.550 0.413 0.101 Ho
0.695 0.023 0.390 Ho
0.700 0.647 0.401 Ho
```

A plane-wave DFT calculation with PBE was carried out for crystalline PmSbAu at its relaxed geometry.

Computed properties:
Formation energy (no corrections)   -80.2 kJ per mole of atoms
Volume   25.39 Å³/atom
Polymorph energy (0 for the lowest one)   7 meV per atom

Cell and atoms, written as POSCAR:
```
PmSbAu
1.0
5.827 -2.224 0.000
5.827 2.224 0.000
-4.457 0.000 5.878
Pm Sb Au
2 2 2
direct
0.051 0.051 0.298 Pm
0.949 0.949 0.702 Pm
0.325 0.325 0.290 Sb
0.675 0.675 0.710 Sb
0.356 0.356 0.920 Au
0.644 0.644 0.080 Au
```

A plane-wave DFT calculation with PBE was carried out for crystalline NpPtRh4 at its relaxed geometry.

Computed properties:
Volume   16.51 Å³/atom
DFT formation energy   -0.167 eV per atom

Cell and atoms, written as POSCAR:
```
NpPtRh4
1.0
0.000 3.672 3.672
3.672 0.000 3.672
3.672 3.672 0.000
Np Pt Rh
1 1 4
direct
0.000 0.000 0.000 Np
0.250 0.250 0.250 Pt
0.127 0.624 0.624 Rh
0.624 0.127 0.624 Rh
0.624 0.624 0.127 Rh
0.624 0.624 0.624 Rh
```

A plane-wave DFT calculation with PBE was carried out for crystalline ZrPdRh at its relaxed geometry.

Computed properties:
Volume   17.20 Å³/atom
Polymorph energy (0 for the lowest one)   153 meV per atom
DFT formation energy   -0.630 eV per atom

Cell and atoms, written as POSCAR:
```
ZrPdRh
1.0
-1.686 1.686 4.538
1.686 -1.686 4.538
1.686 1.686 -4.538
Zr Pd Rh
1 1 1
direct
0.000 0.000 0.000 Zr
0.331 0.331 0.000 Pd
0.650 0.650 0.000 Rh
```

A plane-wave DFT calculation with PBE was carried out for crystalline Cs2VHCl6 at its relaxed geometry.

Computed properties:
Electronic total energy   -3.722 eV/atom
Volume   29.55 Å³/atom

Cell and atoms, written as POSCAR:
```
Cs2VHCl6
1.0
-3.735 3.735 5.294
3.735 -3.735 5.294
3.735 3.735 -5.294
Cs V H Cl
2 1 1 6
direct
0.250 0.750 0.500 Cs
0.750 0.250 0.500 Cs
0.000 0.000 0.000 V
0.500 0.500 0.000 H
0.220 0.220 0.000 Cl
0.221 0.221 0.442 Cl
0.221 0.779 0.000 Cl
0.779 0.221 0.000 Cl
0.779 0.779 0.558 Cl
0.780 0.780 0.000 Cl
```

A plane-wave DFT calculation with PBE was carried out for crystalline Ac3Rh2Au3 at its relaxed geometry.

Computed properties:
Volume   26.63 Å³/atom
DFT formation energy   -0.727 eV per atom

Cell and atoms, written as POSCAR:
```
Ac3Rh2Au3
1.0
2.126 -5.846 0.000
2.126 5.846 0.000
0.000 0.000 17.140
Ac Rh Au
6 4 6
direct
0.122 0.878 0.750 Ac
0.375 0.625 0.589 Ac
0.375 0.625 0.911 Ac
0.625 0.375 0.089 Ac
0.625 0.375 0.411 Ac
0.878 0.122 0.250 Ac
0.301 0.699 0.129 Rh
0.301 0.699 0.371 Rh
0.699 0.301 0.629 Rh
0.699 0.301 0.871 Rh
0.090 0.910 0.556 Au
0.090 0.910 0.944 Au
0.149 0.851 0.250 Au
0.851 0.149 0.750 Au
0.910 0.090 0.056 Au
0.910 0.090 0.444 Au
```

A plane-wave DFT calculation with PBE was carried out for crystalline AlMoP2Au at its relaxed geometry.

Computed properties:
Volume   22.33 Å³/atom
Polymorph energy (0 for the lowest one)   0 meV per atom
DFT formation energy   1.320 eV per atom

Cell and atoms, written as POSCAR:
```
AlMoP2Au
1.0
4.899 0.000 0.000
0.000 4.899 0.000
0.000 0.000 4.653
Al Mo P Au
1 1 2 1
direct
0.000 0.000 0.000 Al
0.500 0.500 0.000 Mo
0.000 0.500 0.500 P
0.500 0.000 0.500 P
0.000 0.000 0.500 Au
```

A plane-wave DFT calculation with PBE was carried out for crystalline NaGaBiSb2 at its relaxed geometry.

Computed properties:
Formation energy (no corrections)   66.2 kJ per mole of atoms
Volume   32.96 Å³/atom

Cell and atoms, written as POSCAR:
```
NaGaBiSb2
1.0
5.458 0.000 0.000
0.000 5.458 0.000
0.000 0.000 5.531
Na Ga Bi Sb
1 1 1 2
direct
0.000 0.000 0.000 Na
0.500 0.500 0.500 Ga
0.000 0.000 0.500 Bi
0.000 0.500 0.000 Sb
0.500 0.000 0.000 Sb
```